Record 1
# CoAsBr2

A relaxed structure of CoAsBr2 (PBE, Alexandria via LeMat-Bulk).

Summary:
The energy relative to the elements, uncorrected is 0.605 eV/atom. As for the energy above the most stable polymorph in this dataset: 2.743 eV per formula unit. The value obtained for the density of states at the Fermi level is 1.317 states/eV/atom. Its space group is Pmmm, No. 47.

```
CoAsBr2
1.0
3.376 0.000 0.000
0.000 4.247 0.000
0.000 0.000 6.502
Co As Br
1 1 2
Cartesian
0.000 0.000 0.000 Co
1.688 0.000 3.251 As
0.000 2.123 3.251 Br
1.688 2.123 0.000 Br
```

***

Record 2
# NiAs2Br

A relaxed structure of NiAs2Br (PBE, Alexandria via LeMat-Bulk).

Summary:
The energy relative to the elements, uncorrected is 0.675 eV/atom. As for the energy above the most stable polymorph in this dataset: 3.412 eV per formula unit. The value obtained for the density of states at the Fermi level is 1.206 states/eV/atom. Its space group is P4/mmm, No. 123.

```
NiAs2Br
1.0
4.940 0.000 0.000
0.000 4.940 0.000
0.000 0.000 2.981
Ni As Br
1 2 1
Cartesian
0.000 0.000 0.000 Ni
0.000 2.470 1.491 As
2.470 0.000 1.491 As
2.470 2.470 0.000 Br
```

***

Record 3
# SmMg2Rh

A relaxed structure of SmMg2Rh (PBE, Alexandria via LeMat-Bulk).

Summary:
The value obtained for the density of states at the Fermi level is 0.681 states/eV/atom. Its space group is R-3m, No. 166. The energy relative to the elements is 37 meV/atom.

```
SmMg2Rh
1.0
3.138 0.000 0.000
-1.569 2.718 0.000
0.000 0.000 31.229
Sm Mg Rh
3 6 3
Cartesian
0.000 0.000 0.000 Sm
0.000 1.812 20.819 Sm
1.569 0.906 10.410 Sm
0.000 0.000 3.239 Mg
0.000 0.000 27.989 Mg
0.000 1.812 17.580 Mg
0.000 1.812 24.058 Mg
1.569 0.906 7.170 Mg
1.569 0.906 13.649 Mg
0.000 0.000 15.614 Rh
0.000 1.812 5.205 Rh
1.569 0.906 26.024 Rh
```

***

Record 4
# PaPd3Au

A relaxed structure of PaPd3Au (PBE, Alexandria via LeMat-Bulk).

Summary:
As for the energy above the most stable polymorph in this dataset: 1.010 eV per formula unit. The value obtained for the density of states at the Fermi level is 0.642 states/eV/atom. Its space group is I4mm, No. 107. The energy relative to the elements is -365 meV/atom.

```
PaPd3Au
1.0
3.877 0.000 0.000
0.000 3.877 0.000
0.000 0.000 13.077
Pa Pd Au
2 6 2
Cartesian
0.000 0.000 0.000 Pa
1.938 1.938 6.538 Pa
0.000 0.000 10.520 Pd
0.000 1.938 1.995 Pd
0.000 1.938 8.533 Pd
1.938 0.000 1.995 Pd
1.938 0.000 8.533 Pd
1.938 1.938 3.982 Pd
0.000 0.000 4.988 Au
1.938 1.938 11.526 Au
```

***

Number 1: uncorrected energy -12.7 eV per formula unit. Number 2: uncorrected energy -14.1 eV per formula unit. Number 3: uncorrected energy -15.1 eV per formula unit. Number 4: uncorrected energy -30.2 eV per formula unit.